The following is a DFT calculation (PBE-GGA) of an optimized crystal structure of HgGeI2N.

Structure (extended XYZ):
```
5
Lattice="6.210 0.000 0.000 0.000 6.210 0.000 0.000 0.000 4.077" Properties=species:S:1:pos:R:3 pbc="T T T"
Hg 0.000 0.000 0.000
Ge 3.105 3.105 2.038
I 0.000 3.105 0.000
I 3.105 0.000 0.000
N 0.000 0.000 2.038
```

Summary:
**D(E_F)**: 2.4 states/eV/cell
**Relative energy among the computed polymorphs**: 0.525 eV/atom
**Formation energy (no corrections)**: 1.035 eV/atom
**Spin magnetization**: 1.4 μB per formula unit